1.
This record from Alexandria describes crystalline SrSi3Au6 at its relaxed geometry. The functional is GGA-PBE.

Results
As for the space group: R3, No. 146. The total magnetization comes out at 0.00 μB per formula unit. The value obtained for the formation energy without anion corrections is -215 meV per atom. Its volume is 209.6 Å³/f.u.

Unit cell a=6.6623 b=6.6623 c=6.6728 alpha=90.00 beta=119.95 gamma=120.00
Closest atoms and distances in Å follow each position.
Sites, in units of the cell vectors:
Sr (0.8494, 0.9247, 0.7741)  1 Si 3.16, 6 Au 3.17-3.41
Si (0.7367, 0.3683, 0.1050)  6 Au 2.54-2.73
Si (0.2716, 0.6358, 0.9075)  6 Au 2.42-2.56
Si (0.2363, 0.1182, 0.3545)  6 Au 2.57-2.58
Au (0.3003, 0.3540, 0.7116)  2 Si 2.42-2.58
Au (0.2214, 0.7400, 0.2414)  3 Si 2.54-2.57
Au (0.7600, 0.0200, 0.2414)  3 Si 2.54-2.57
Au (0.3576, 0.9463, 0.7116)  2 Si 2.42-2.58
Au (0.7653, 0.4112, 0.7116)  2 Si 2.42-2.58
Au (0.5015, 0.4815, 0.2414)  3 Si 2.54-2.57

***

2.
This record from Alexandria describes crystalline Ce2YTmTe5 at its relaxed geometry. The functional is GGA-PBE.

Results
As for the space group: P4/mmm, No. 123. The total magnetization comes out at 3.46 μB per formula unit. The value obtained for the formation energy without anion corrections is -848 meV per atom. Its volume is 344.6 Å³/f.u.

Unit cell a=5.4694 b=5.4694 c=11.5209 alpha=90.00 beta=90.00 gamma=90.00
Closest atoms and distances in Å follow each position.
Sites, in units of the cell vectors:
Ce (0.5000, 0.5000, 0.3161)  5 Te 3.46-3.64
Ce (0.5000, 0.5000, 0.6839)  5 Te 3.46-3.64
Y (0.0000, 0.0000, 0.0000)  2 Te 2.83
Tm (0.0000, 0.0000, 0.5000)  6 Te 2.73-2.93
Te (0.0000, 0.5000, 0.5000)  2 Tm 2.73
Te (0.5000, 0.0000, 0.5000)  2 Tm 2.73
Te (0.0000, 0.0000, 0.7542)  1 Y 2.83, 1 Tm 2.93
Te (0.0000, 0.0000, 0.2458)  1 Y 2.83, 1 Tm 2.93
Te (0.5000, 0.5000, 0.0000)  2 Ce 3.64, 4 Y 3.87

***

3.
This record from Alexandria describes crystalline Sm2GaF at its relaxed geometry. The functional is GGA-PBE.

Results
As for the space group: P4/mmm, No. 123. The total magnetization comes out at 0.00 μB per formula unit. The value obtained for the formation energy without anion corrections is -1244 meV per atom. Its volume is 83.5 Å³/f.u. The offset from the most stable computed form is 147 meV per atom.

Unit cell a=3.2965 b=3.2965 c=7.6804 alpha=90.00 beta=90.00 gamma=90.00
Closest atoms and distances in Å follow each position.
Sites, in units of the cell vectors:
Ga (0.5000, 0.5000, 0.5000)  8 Sm 3.04, 4 Ga 3.30
Sm (0.0000, 0.0000, 0.7542)  4 F 3.00, 4 Ga 3.04, 4 Sm 3.30
Sm (0.0000, 0.0000, 0.2458)  4 F 3.00, 4 Ga 3.04, 4 Sm 3.30
F (0.5000, 0.5000, 0.0000)  8 Sm 3.00, 4 F 3.30

***

4.
This record from Alexandria describes crystalline Er6Si2HgSe3 at its relaxed geometry. The functional is GGA-PBE.

Results
As for the space group: C2/m, No. 12. The total magnetization comes out at 0.00 μB per formula unit. The value obtained for the formation energy without anion corrections is -1191 meV per atom. Its volume is 293.5 Å³/f.u.

Unit cell a=4.0678 b=8.3354 c=9.3129 alpha=107.28 beta=102.61 gamma=90.00
Closest atoms and distances in Å follow each position.
Sites, in units of the cell vectors:
Er (0.3290, 0.9103, 0.6580)  3 Se 2.81-2.98, 2 Si 2.84, 1 Hg 2.97
Er (0.6724, 0.5670, 0.3447)  3 Si 2.85-2.87, 3 Se 2.99-3.01
Er (0.6710, 0.0897, 0.3420)  3 Se 2.81-2.98, 2 Si 2.84, 1 Hg 2.97
Er (0.9992, 0.2623, 0.9984)  3 Se 2.84-2.89, 1 Si 2.85, 2 Hg 2.99
Er (0.0008, 0.7377, 0.0016)  3 Se 2.84-2.89, 1 Si 2.85, 2 Hg 2.99
Er (0.3276, 0.4330, 0.6553)  3 Si 2.85-2.87, 3 Se 2.99-3.01
Si (0.8380, 0.6785, 0.6759)  6 Er 2.84-2.87
Si (0.1620, 0.3215, 0.3241)  6 Er 2.84-2.87
Hg (0.5000, 0.0000, 0.0000)  6 Er 2.97-2.99
Se (0.5000, 0.5000, 0.0000)  6 Er 2.84-3.01
Se (0.8329, 0.1736, 0.6658)  6 Er 2.81-2.99
Se (0.1671, 0.8264, 0.3342)  6 Er 2.81-2.99